Li6CaAg8 | PBE-GGA | optimized geometry

a = 8.099 Å, b = 8.099 Å, c = 6.869 Å
α = 53.88°, β = 53.88°, γ = 60.00°
Positions (direct):
1 Ag 0.813 0.134 0.611
2 Ag 0.771 0.771 0.688
3 Ag 0.134 0.442 0.611
4 Ag 0.442 0.813 0.611
5 Ag 0.558 0.187 0.389
6 Ag 0.866 0.558 0.389
7 Ag 0.187 0.866 0.389
8 Ag 0.229 0.229 0.312
9 Li 0.590 0.381 0.873
10 Li 0.381 0.156 0.873
11 Li 0.410 0.619 0.127
12 Li 0.844 0.410 0.127
13 Li 0.619 0.844 0.127
14 Li 0.156 0.590 0.873
15 Ca 0.000 0.000 0.000

crystal system: trigonal
calculated total energy: -38.0 eV/f.u.
Fermi-level density of states: 0.2711 states/eV per atom